# 1
The following is a DFT calculation (PBE-GGA) of crystalline Dy2H4S3O12 at its relaxed geometry.

abc: 6.684 6.684 12.626
angles: 101.16 101.16 60.40
Element x y z (fractional)
Dy1 0.181 0.211 0.175
Dy2 0.211 0.181 0.675
Dy3 0.789 0.819 0.325
Dy4 0.819 0.789 0.825
H1 0.051 0.840 0.582
H2 0.160 0.949 0.918
H3 0.294 0.676 0.641
H4 0.324 0.706 0.859
H5 0.676 0.294 0.141
H6 0.706 0.324 0.359
H7 0.840 0.051 0.082
H8 0.949 0.160 0.418
S1 0.257 0.303 0.427
S2 0.303 0.257 0.927
S3 0.337 0.663 0.250
S4 0.663 0.337 0.750
S5 0.697 0.743 0.073
S6 0.743 0.697 0.573
O1 0.038 0.420 0.343
O2 0.104 0.409 0.845
O3 0.167 0.800 0.881
O4 0.170 0.746 0.330
O5 0.182 0.186 0.493
O6 0.186 0.182 0.993
O7 0.200 0.833 0.619
O8 0.254 0.830 0.170
O9 0.375 0.432 0.191
O10 0.409 0.104 0.345
O11 0.420 0.038 0.843
O12 0.432 0.375 0.691
O13 0.568 0.625 0.309
O14 0.580 0.962 0.157
O15 0.591 0.896 0.655
O16 0.625 0.568 0.809
O17 0.746 0.170 0.830
O18 0.800 0.167 0.381
O19 0.814 0.818 0.007
O20 0.818 0.814 0.507
O21 0.830 0.254 0.670
O22 0.833 0.200 0.119
O23 0.896 0.591 0.155
O24 0.962 0.580 0.657

Computed properties:
final energy: -6.334 eV/atom


# 2
The following is a DFT calculation (PBE-GGA) of crystalline DySiHO4 at its relaxed geometry.

abc: 8.858 8.858 8.858
angles: 110.75 110.75 110.75
Element x y z (fractional)
Dy1 0.003 0.228 0.769
Dy2 0.228 0.769 0.003
Dy3 0.306 0.770 0.619
Dy4 0.619 0.306 0.770
Dy5 0.769 0.003 0.228
Dy6 0.770 0.619 0.306
Si1 0.165 0.971 0.374
Si2 0.374 0.165 0.971
Si3 0.454 0.596 0.889
Si4 0.596 0.889 0.454
Si5 0.889 0.454 0.596
Si6 0.971 0.374 0.165
H1 0.120 0.977 0.659
H2 0.295 0.332 0.573
H3 0.332 0.573 0.295
H4 0.573 0.295 0.332
H5 0.659 0.120 0.977
H6 0.977 0.659 0.120
O1 0.069 0.668 0.681
O2 0.069 0.790 0.149
O3 0.071 0.097 0.374
O4 0.095 0.474 0.392
O5 0.097 0.374 0.071
O6 0.103 0.849 0.471
O7 0.149 0.069 0.790
O8 0.258 0.508 0.886
O9 0.374 0.071 0.097
O10 0.392 0.095 0.474
O11 0.426 0.430 0.696
O12 0.430 0.696 0.426
O13 0.471 0.103 0.849
O14 0.474 0.392 0.095
O15 0.477 0.788 0.889
O16 0.508 0.886 0.258
O17 0.668 0.681 0.069
O18 0.681 0.069 0.668
O19 0.696 0.426 0.430
O20 0.788 0.889 0.477
O21 0.790 0.149 0.069
O22 0.849 0.471 0.103
O23 0.886 0.258 0.508
O24 0.889 0.477 0.788

Computed properties:
final energy: -7.417 eV/atom


# 3
The following is a DFT calculation (PBE-GGA) of crystalline DySiHO4 at its relaxed geometry.

abc: 7.662 6.473 6.798
angles: 90.00 112.15 90.00
Element x y z (fractional)
Dy1 0.208 0.139 0.115
Dy2 0.208 0.361 0.615
Dy3 0.792 0.639 0.385
Dy4 0.792 0.861 0.885
Si1 0.245 0.606 0.137
Si2 0.245 0.894 0.637
Si3 0.755 0.106 0.363
Si4 0.755 0.394 0.863
H1 0.466 0.686 0.883
H2 0.466 0.814 0.383
H3 0.534 0.186 0.617
H4 0.534 0.314 0.117
O1 0.100 0.702 0.560
O2 0.100 0.798 0.060
O3 0.203 0.062 0.790
O4 0.203 0.438 0.290
O5 0.276 0.034 0.454
O6 0.276 0.466 0.954
O7 0.461 0.712 0.273
O8 0.461 0.788 0.773
O9 0.539 0.212 0.227
O10 0.539 0.288 0.727
O11 0.724 0.534 0.046
O12 0.724 0.966 0.546
O13 0.797 0.562 0.710
O14 0.797 0.938 0.210
O15 0.900 0.202 0.940
O16 0.900 0.298 0.440

Computed properties:
final energy: -7.476 eV/atom


# 4
The following is a DFT calculation (PBE-GGA) of crystalline DySiHO4 at its relaxed geometry.

abc: 7.666 8.950 17.287
angles: 90.00 90.00 90.00
Element x y z (fractional)
Dy1 0.112 0.165 0.125
Dy2 0.112 0.335 0.625
Dy3 0.137 0.188 0.881
Dy4 0.137 0.312 0.381
Dy5 0.363 0.688 0.881
Dy6 0.363 0.812 0.381
Dy7 0.388 0.665 0.125
Dy8 0.388 0.835 0.625
Dy9 0.612 0.165 0.375
Dy10 0.612 0.335 0.875
Dy11 0.637 0.188 0.619
Dy12 0.637 0.312 0.119
Dy13 0.863 0.688 0.619
Dy14 0.863 0.812 0.119
Dy15 0.888 0.665 0.375
Dy16 0.888 0.835 0.875
Si1 0.015 0.019 0.296
Si2 0.015 0.481 0.796
Si3 0.243 0.572 0.505
Si4 0.243 0.928 0.005
Si5 0.257 0.072 0.505
Si6 0.257 0.428 0.005
Si7 0.485 0.519 0.296
Si8 0.485 0.981 0.796
Si9 0.515 0.019 0.204
Si10 0.515 0.481 0.704
Si11 0.743 0.572 0.995
Si12 0.743 0.928 0.495
Si13 0.757 0.072 0.995
Si14 0.757 0.428 0.495
Si15 0.985 0.519 0.204
Si16 0.985 0.981 0.704
H1 0.061 0.635 0.990
H2 0.061 0.865 0.490
H3 0.208 0.593 0.282
H4 0.208 0.907 0.782
H5 0.292 0.093 0.282
H6 0.292 0.407 0.782
H7 0.439 0.135 0.990
H8 0.439 0.365 0.490
H9 0.561 0.635 0.510
H10 0.561 0.865 0.010
H11 0.708 0.593 0.218
H12 0.708 0.907 0.718
H13 0.792 0.093 0.218
H14 0.792 0.407 0.718
H15 0.939 0.135 0.510
H16 0.939 0.365 0.010
O1 0.065 0.007 0.791
O2 0.065 0.493 0.291
O3 0.078 0.171 0.516
O4 0.078 0.329 0.016
O5 0.078 0.638 0.833
O6 0.078 0.862 0.333
O7 0.099 0.625 0.147
O8 0.099 0.875 0.647
O9 0.122 0.588 0.581
O10 0.122 0.912 0.081
O11 0.164 0.621 0.421
O12 0.164 0.879 0.921
O13 0.172 0.146 0.273
O14 0.172 0.354 0.773
O15 0.224 0.607 0.997
O16 0.224 0.893 0.497
O17 0.276 0.107 0.997
O18 0.276 0.393 0.497
O19 0.328 0.646 0.273
O20 0.328 0.854 0.773
O21 0.336 0.121 0.421
O22 0.336 0.379 0.921
O23 0.378 0.088 0.581
O24 0.378 0.412 0.081
O25 0.401 0.125 0.147
O26 0.401 0.375 0.647
O27 0.422 0.138 0.833
O28 0.422 0.362 0.333
O29 0.422 0.671 0.516
O30 0.422 0.829 0.016
O31 0.435 0.507 0.791
O32 0.435 0.993 0.291
O33 0.565 0.007 0.709
O34 0.565 0.493 0.209
O35 0.578 0.171 0.984
O36 0.578 0.329 0.484
O37 0.578 0.638 0.667
O38 0.578 0.862 0.167
O39 0.599 0.625 0.353
O40 0.599 0.875 0.853
O41 0.622 0.588 0.919
O42 0.622 0.912 0.419
O43 0.664 0.621 0.079
O44 0.664 0.879 0.579
O45 0.672 0.146 0.227
O46 0.672 0.354 0.727
O47 0.724 0.607 0.503
O48 0.724 0.893 0.003
O49 0.776 0.107 0.503
O50 0.776 0.393 0.003
O51 0.828 0.646 0.227
O52 0.828 0.854 0.727
O53 0.836 0.121 0.079
O54 0.836 0.379 0.579
O55 0.878 0.088 0.919
O56 0.878 0.412 0.419
O57 0.901 0.125 0.353
O58 0.901 0.375 0.853
O59 0.922 0.138 0.667
O60 0.922 0.362 0.167
O61 0.922 0.671 0.984
O62 0.922 0.829 0.484
O63 0.935 0.507 0.709
O64 0.935 0.993 0.209

Computed properties:
final energy: -7.446 eV/atom


# 5
The following is a DFT calculation (PBE-GGA) of crystalline DySiHO4 at its relaxed geometry.

abc: 4.337 4.792 8.498
angles: 90.00 117.97 90.00
Element x y z (fractional)
Dy1 0.000 0.090 0.000
Dy2 0.000 0.910 0.500
Si1 0.645 0.442 0.230
Si2 0.645 0.558 0.730
H1 0.241 0.359 0.354
H2 0.241 0.641 0.854
O1 0.323 0.307 0.261
O2 0.323 0.693 0.761
O3 0.571 0.270 0.049
O4 0.571 0.730 0.549
O5 0.670 0.222 0.721
O6 0.670 0.778 0.221
O7 0.988 0.355 0.420
O8 0.988 0.645 0.920

Computed properties:
final energy: -7.332 eV/atom


# 6
The following is a DFT calculation (PBE-GGA) of crystalline DySiHO4 at its relaxed geometry.

abc: 8.838 6.823 4.760
angles: 90.00 90.00 90.00
Element x y z (fractional)
Dy1 0.203 0.250 0.199
Dy2 0.297 0.750 0.699
Dy3 0.703 0.250 0.301
Dy4 0.797 0.750 0.801
Si1 0.046 0.750 0.221
Si2 0.454 0.250 0.721
Si3 0.546 0.750 0.279
Si4 0.954 0.250 0.779
H1 0.000 0.000 0.500
H2 0.000 0.500 0.500
H3 0.500 0.000 0.000
H4 0.500 0.500 0.000
O1 0.069 0.750 0.885
O2 0.116 0.553 0.379
O3 0.116 0.947 0.379
O4 0.135 0.250 0.730
O5 0.365 0.750 0.230
O6 0.384 0.053 0.879
O7 0.384 0.447 0.879
O8 0.431 0.250 0.385
O9 0.569 0.750 0.615
O10 0.616 0.553 0.121
O11 0.616 0.947 0.121
O12 0.635 0.250 0.770
O13 0.865 0.750 0.270
O14 0.884 0.053 0.621
O15 0.884 0.447 0.621
O16 0.931 0.250 0.115

Computed properties:
final energy: -7.374 eV/atom


# 7
The following is a DFT calculation (PBE-GGA) of crystalline DySiHO4 at its relaxed geometry.

abc: 9.455 9.455 13.323
angles: 90.00 90.00 120.00
Element x y z (fractional)
Dy1 0.000 0.285 0.333
Dy2 0.000 0.715 0.333
Dy3 0.262 0.524 0.000
Dy4 0.262 0.738 0.667
Dy5 0.285 0.000 0.000
Dy6 0.285 0.285 0.667
Dy7 0.476 0.738 0.333
Dy8 0.524 0.262 0.333
Dy9 0.715 0.000 0.000
Dy10 0.715 0.715 0.667
Dy11 0.738 0.262 0.667
Dy12 0.738 0.476 0.000
Si1 0.000 0.244 0.833
Si2 0.000 0.756 0.833
Si3 0.229 0.459 0.500
Si4 0.229 0.771 0.167
Si5 0.244 0.000 0.500
Si6 0.244 0.244 0.167
Si7 0.459 0.229 0.833
Si8 0.541 0.771 0.833
Si9 0.756 0.000 0.500
Si10 0.756 0.756 0.167
Si11 0.771 0.229 0.167
Si12 0.771 0.541 0.500
H1 0.000 0.000 0.000
H2 0.000 0.000 0.333
H3 0.000 0.000 0.667
H4 0.000 0.500 0.172
H5 0.000 0.500 0.495
H6 0.000 0.500 0.833
H7 0.500 0.000 0.161
H8 0.500 0.000 0.500
H9 0.500 0.000 0.839
H10 0.500 0.500 0.167
H11 0.500 0.500 0.505
H12 0.500 0.500 0.828
O1 0.025 0.383 0.492
O2 0.025 0.643 0.174
O3 0.047 0.171 0.735
O4 0.047 0.876 0.932
O5 0.124 0.171 0.265
O6 0.124 0.953 0.402
O7 0.139 0.434 0.862
O8 0.139 0.705 0.805
O9 0.171 0.047 0.598
O10 0.171 0.124 0.068
O11 0.248 0.515 0.617
O12 0.248 0.733 0.050
O13 0.267 0.515 0.383
O14 0.267 0.752 0.283
O15 0.295 0.434 0.138
O16 0.295 0.861 0.529
O17 0.357 0.383 0.508
O18 0.357 0.975 0.159
O19 0.383 0.025 0.841
O20 0.383 0.357 0.826
O21 0.434 0.139 0.471
O22 0.434 0.295 0.195
O23 0.485 0.733 0.950
O24 0.485 0.752 0.717
O25 0.515 0.248 0.717
O26 0.515 0.267 0.950
O27 0.566 0.705 0.195
O28 0.566 0.861 0.471
O29 0.617 0.643 0.826
O30 0.617 0.975 0.841
O31 0.643 0.025 0.159
O32 0.643 0.617 0.508
O33 0.705 0.139 0.529
O34 0.705 0.566 0.138
O35 0.733 0.248 0.283
O36 0.733 0.485 0.383
O37 0.752 0.267 0.050
O38 0.752 0.485 0.617
O39 0.829 0.876 0.068
O40 0.829 0.953 0.598
O41 0.861 0.295 0.805
O42 0.861 0.566 0.862
O43 0.876 0.047 0.402
O44 0.876 0.829 0.265
O45 0.953 0.124 0.932
O46 0.953 0.829 0.735
O47 0.975 0.357 0.174
O48 0.975 0.617 0.492

Computed properties:
final energy: -7.034 eV/atom